A relaxed structure of ThSnPt2. Source: the Alexandria database, functional PBE.

Cell lengths 3.6209, 7.2760, 7.1987 Å; angles 90.00, 90.00, 90.00 degrees
With the nearest neighbours (Å) after each atom.
Space group Amm2 (No. 38)
Symmetry-distinct sites (fractional):
Th  0.0000  0.0000  0.0000  8 Pt 2.98-3.33
Sn  0.5000  0.0000  0.4241  4 Pt 2.61-2.65
Pt  0.5000  0.1944  0.7355  2 Sn 2.61-2.65, 1 Pt 2.83

E_form	-0.7631	eV/atom
crystal system	orthorhombic

---

A relaxed structure of Cr2GaCuH. Source: the Alexandria database, functional PBE.

Cell lengths 3.6231, 3.6231, 3.9951 Å; angles 90.00, 90.00, 90.00 degrees
With the nearest neighbours (Å) after each atom.
Space group P4/mmm (No. 123)
Symmetry-distinct sites (fractional):
Cr  0.0000  0.5000  0.0000  2 H 1.81
Ga  0.0000  0.0000  0.5000  4 Cu 2.56, 8 Cr 2.70
Cu  0.5000  0.5000  0.5000  2 H 2.00
H  0.5000  0.5000  0.0000  4 Cr 1.81, 2 Cu 2.00

crystal system	tetragonal

---

A relaxed structure of Na8Cd2Pb3. Source: the Alexandria database, functional PBE.

Cell lengths 12.3519, 11.2855, 5.9401 Å; angles 90.00, 114.46, 90.00 degrees
With the nearest neighbours (Å) after each atom.
Space group C2/m (No. 12)
Symmetry-distinct sites (fractional):
Na  0.0770  0.0000  0.2904  3 Cd 3.08-3.41, 4 Na 3.18-3.35, 2 Pb 3.26
Na  0.1380  0.5000  0.5887  1 Cd 3.06, 2 Na 3.12-3.29, 3 Pb 3.19-3.34
Na  0.1656  0.2614  0.1597  2 Cd 3.24-3.53, 3 Pb 3.28-3.60, 2 Na 3.35-3.36
Cd  0.1938  0.0000  0.8620  6 Na 3.06-3.41
Pb  0.0000  0.2381  0.5000  8 Na 3.26-3.60, 2 Cd 3.65
Pb  0.0000  0.5000  0.0000  8 Na 3.19-3.51, 2 Cd 3.52

E_form	-0.0695	eV/atom
crystal system	monoclinic

---

A relaxed structure of TbCePuN3. Source: the Alexandria database, functional PBE.

Cell lengths 5.9765, 3.3961, 9.4164 Å; angles 90.00, 94.41, 90.00 degrees
With the nearest neighbours (Å) after each atom.
Space group P2_1/m (No. 11)
Symmetry-distinct sites (fractional):
Tb  0.2421  0.2500  0.4442  6 N 2.44-2.55
Ce  0.2835  0.7500  0.7668  6 N 2.45-2.59
Pu  0.1811  0.7500  0.1244  4 N 2.28-2.48
N  0.0191  0.2500  0.6548  3 Tb 2.44-2.47, 1 Pu 2.48, 2 Ce 2.50
N  0.2046  0.2500  0.9646  3 Pu 2.28-2.39
N  0.4819  0.7500  0.3358  2 Ce 2.45, 3 Tb 2.49-2.55, 1 Pu 2.58

crystal system	monoclinic
energy relative to the elements, uncorrected	-1.291	eV per atom

---

Number 1: magnetization 0.000 μB per atom, electronic total energy -6.639 eV/atom. Number 2: magnetization 0.317 μB per atom, electronic total energy -5.819 eV/atom. Number 3: magnetization 0.000 μB per atom, electronic total energy -1.878 eV/atom. Number 4: magnetization 0.984 μB per atom, electronic total energy -9.603 eV/atom.